Record 1
4
Lattice="1.3490 0.7789 8.9394 -1.3490 0.7789 8.9394 0.0000 -1.5577 8.9394" Properties=species:S:1:pos:R:3 comment="Cr2AgIr, relaxed, DFT PBE-GGA" rho_g_cm3=11.91 e_form_ev_per_atom=0.34 energy_ev_per_cell=-29.581 sg="No. 166" pbc="T T T"
Cr 0.0000 0.0000 6.5592
Cr 0.0000 0.0000 20.2589
Ag 0.0000 0.0000 0.0000
Ir 0.0000 0.0000 13.4091

---

Record 2
4
Lattice="-1.3951 2.3169 4.6897 1.3951 -2.3169 4.6897 1.3951 2.3169 -4.6897" Properties=species:S:1:pos:R:3 comment="CrAgIr2, relaxed, DFT PBE-GGA" rho_g_cm3=14.91 e_form_ev_per_atom=0.25 energy_ev_per_cell=-29.190 de_polymorph_ev_per_fu=0.84 sg="No. 71" pbc="T T T"
Cr 0.0000 0.0000 0.0000
Ag 0.0000 0.0000 4.6897
Ir 1.3951 0.0000 2.1157
Ir 0.0000 2.3169 2.5739

---

Record 3
4
Lattice="2.6691 0.0000 0.0000 0.0000 2.6691 0.0000 0.0000 0.0000 7.9244" Properties=species:S:1:pos:R:3 comment="Cr2AgIr, relaxed, DFT PBE-GGA" rho_g_cm3=11.89 e_form_ev_per_atom=0.31 energy_ev_per_cell=-29.701 sg="No. 99" pbc="T T T"
Cr 0.0000 0.0000 0.0000
Cr 1.3346 1.3346 1.8232
Ag 1.3346 1.3346 5.8025
Ir 0.0000 0.0000 3.5013

---

Record 4
5
Lattice="4.7424 0.0000 0.0000 0.0000 4.7424 0.0000 0.0000 0.0000 4.7424" Properties=species:S:1:pos:R:3 comment="Cr3AgIr, relaxed, DFT PBE-GGA" rho_g_cm3=7.10 e_form_ev_per_atom=1.15 energy_ev_per_cell=-34.808 de_polymorph_ev_per_fu=0.00 sg="No. 221" pbc="T T T"
Cr 0.0000 0.0000 2.3712
Cr 0.0000 2.3712 0.0000
Cr 2.3712 0.0000 0.0000
Ag 2.3712 2.3712 2.3712
Ir 0.0000 0.0000 0.0000

---

no.,D(E_F) (states/eV/cell)
1,3.18
2,3.93
3,5.05
4,5.27